Entry from Alexandria via LeMat-Bulk: a relaxed KMn2BiMo crystal (PBE).

Cell and atoms, written as CIF:
```
data_KMn2BiMo
_chemical_formula_sum 'K1 Mn2 Bi1 Mo1'
_symmetry_space_group_name_H-M 'P 4/m m m'
_symmetry_Int_Tables_number 123
_symmetry_space_group_name_Hall '-P 4 2'
_cell_length_a 5.327
_cell_length_b 5.327
_cell_length_c 6.568
_cell_angle_alpha 90.00
_cell_angle_beta 90.00
_cell_angle_gamma 90.00
loop_
_atom_site_label
_atom_site_fract_x
_atom_site_fract_y
_atom_site_fract_z
_atom_site_occupancy
K1 0.000 0.000 0.000 1
Mn1 0.000 0.500 0.500 1
Bi1 0.000 0.000 0.500 1
Mo1 0.500 0.500 0.000 1
```

For the energy of formation from the pure elements, the calculation gives 1742 meV/atom. The value obtained for the volume is 186 Å³/f.u. Its density of states at the Fermi level is 4.52 states/eV per cell. The value obtained for the size of the total moment is 14.0 Bohr magnetons per cell.

=====

Entry from Alexandria via LeMat-Bulk: a relaxed Ta3BRu crystal (PBE).

Cell and atoms, written as CIF:
```
data_Ta3BRu
_chemical_formula_sum 'Ta3 B1 Ru1'
_symmetry_space_group_name_H-M 'P m -3 m'
_symmetry_Int_Tables_number 221
_symmetry_space_group_name_Hall '-P 4 2 3'
_cell_length_a 4.744
_cell_length_b 4.744
_cell_length_c 4.744
_cell_angle_alpha 90.00
_cell_angle_beta 90.00
_cell_angle_gamma 90.00
loop_
_atom_site_label
_atom_site_fract_x
_atom_site_fract_y
_atom_site_fract_z
_atom_site_occupancy
Ta1 0.000 0.000 0.500 1
B1 0.500 0.500 0.500 1
Ru1 0.000 0.000 0.000 1
```

For the energy of formation from the pure elements, the calculation gives 1859 meV/atom. The value obtained for the volume is 107 Å³/f.u. Its density of states at the Fermi level is 2.83 states/eV per cell. The calculation puts the energy above the most stable polymorph in this dataset at 9.05 eV/f.u. The value obtained for the size of the total moment is 0.0 Bohr magnetons per cell.

=====

Entry from Alexandria via LeMat-Bulk: a relaxed Sm4Y5Sc crystal (PBE).

Cell and atoms, written as CIF:
```
data_Sm4Y5Sc
_chemical_formula_sum 'Sm8 Y10 Sc2'
_symmetry_space_group_name_H-M 'C 1 2/m 1'
_symmetry_Int_Tables_number 12
_cell_length_a 19.408
_cell_length_b 3.602
_cell_length_c 9.500
_cell_angle_alpha 90.00
_cell_angle_beta 100.01
_cell_angle_gamma 90.00
loop_
_symmetry_equiv_pos_as_xyz
'x,y,z'
'-x,-y,-z'
'-x,y,-z'
'x,-y,z'
'x+1/2,y+1/2,z'
'-x+1/2,-y+1/2,-z'
'-x+1/2,y+1/2,-z'
'x+1/2,-y+1/2,z'
loop_
_atom_site_label
_atom_site_fract_x
_atom_site_fract_y
_atom_site_fract_z
_atom_site_occupancy
Sm1 0.065 0.000 0.280 1
Sm2 0.179 0.500 0.506 1
Y1 0.000 0.500 0.000 1
Y2 0.114 0.000 0.784 1
Y3 0.215 0.000 0.143 1
Sc1 0.000 0.500 0.500 1
```

For the energy of formation from the pure elements, the calculation gives 151 meV/atom. The value obtained for the volume is 327 Å³/f.u. Its density of states at the Fermi level is 31.39 states/eV per cell. The calculation puts the energy above the most stable polymorph in this dataset at 0.00 eV/f.u. The value obtained for the size of the total moment is 0.0 Bohr magnetons per cell.

=====

Entry from Alexandria via LeMat-Bulk: a relaxed SrCe2Pr3N6 crystal (PBE).

Cell and atoms, written as CIF:
```
data_SrCe2Pr3N6
_chemical_formula_sum 'Sr2 Ce4 Pr6 N12'
_symmetry_space_group_name_H-M 'C 1 2/m 1'
_symmetry_Int_Tables_number 12
_cell_length_a 15.860
_cell_length_b 3.668
_cell_length_c 7.341
_cell_angle_alpha 90.00
_cell_angle_beta 103.35
_cell_angle_gamma 90.00
loop_
_symmetry_equiv_pos_as_xyz
'x,y,z'
'-x,-y,-z'
'-x,y,-z'
'x,-y,z'
'x+1/2,y+1/2,z'
'-x+1/2,-y+1/2,-z'
'-x+1/2,y+1/2,-z'
'x+1/2,-y+1/2,z'
loop_
_atom_site_label
_atom_site_fract_x
_atom_site_fract_y
_atom_site_fract_z
_atom_site_occupancy
Sr1 0.000 0.000 0.000 1
Ce1 0.166 0.500 0.333 1
Pr1 0.000 0.000 0.500 1
Pr2 0.168 0.500 0.835 1
N1 0.015 0.500 0.272 1
N2 0.172 0.000 0.577 1
N3 0.174 0.000 0.100 1
```

The value obtained for the volume is 208 Å³/f.u. Its density of states at the Fermi level is 8.62 states/eV per cell. The uncorrected formation energy comes out at -1272.4 meV/atom. The value obtained for the size of the total moment is 0.0 Bohr magnetons per cell.

=====

Entry from Alexandria via LeMat-Bulk: a relaxed SrIrF2 crystal (PBE).

Cell and atoms, written as CIF:
```
data_SrIrF2
_chemical_formula_sum 'Sr4 Ir4 F8'
_symmetry_space_group_name_H-M 'I -4 2 d'
_symmetry_Int_Tables_number 122
_symmetry_space_group_name_Hall 'I -4 2bw'
_cell_length_a 4.390
_cell_length_b 4.390
_cell_length_c 15.026
_cell_angle_alpha 90.00
_cell_angle_beta 90.00
_cell_angle_gamma 90.00
loop_
_atom_site_label
_atom_site_fract_x
_atom_site_fract_y
_atom_site_fract_z
_atom_site_occupancy
Sr1 0.000 0.000 0.000 1
Ir1 0.000 0.000 0.500 1
F1 0.195 0.250 0.625 1
```

The value obtained for the volume is 72 Å³/f.u. Its density of states at the Fermi level is 6.94 states/eV per cell. The calculation puts the energy above the most stable polymorph in this dataset at 1.53 eV/f.u. The uncorrected formation energy comes out at -1201.6 meV/atom. The value obtained for the size of the total moment is 4.6 Bohr magnetons per cell.

=====

Entry from Alexandria via LeMat-Bulk: a relaxed Cu2TeN crystal (PBE).

Cell and atoms, written as CIF:
```
data_Cu2TeN
_chemical_formula_sum 'Cu8 Te4 N4'
_symmetry_space_group_name_H-M 'F m -3 m'
_symmetry_Int_Tables_number 225
_symmetry_space_group_name_Hall '-F 4 2 3'
_cell_length_a 6.149
_cell_length_b 6.149
_cell_length_c 6.149
_cell_angle_alpha 90.00
_cell_angle_beta 90.00
_cell_angle_gamma 90.00
loop_
_atom_site_label
_atom_site_fract_x
_atom_site_fract_y
_atom_site_fract_z
_atom_site_occupancy
Cu1 0.250 0.250 0.250 1
Te1 0.000 0.000 0.000 1
N1 0.000 0.000 0.500 1
```

The value obtained for the volume is 58 Å³/f.u. Its density of states at the Fermi level is 17.85 states/eV per cell. The calculation puts the energy above the most stable polymorph in this dataset at 2.99 eV/f.u. The uncorrected formation energy comes out at 1186.5 meV/atom. The value obtained for the size of the total moment is 0.0 Bohr magnetons per cell.

=====

Entry from Alexandria via LeMat-Bulk: a relaxed Ti2Ni4Pt crystal (PBE).

Cell and atoms, written as CIF:
```
data_Ti2Ni4Pt
_chemical_formula_sum 'Ti4 Ni8 Pt2'
_symmetry_space_group_name_H-M 'I 4/m m m'
_symmetry_Int_Tables_number 139
_symmetry_space_group_name_Hall '-I 4 2'
_cell_length_a 3.330
_cell_length_b 3.330
_cell_length_c 16.860
_cell_angle_alpha 90.00
_cell_angle_beta 90.00
_cell_angle_gamma 90.00
loop_
_atom_site_label
_atom_site_fract_x
_atom_site_fract_y
_atom_site_fract_z
_atom_site_occupancy
Ti1 0.000 0.000 0.096 1
Ni1 0.000 0.000 0.352 1
Ni2 0.000 0.500 0.250 1
Pt1 0.000 0.000 0.500 1
```

For the energy of formation from the pure elements, the calculation gives -367 meV/atom. The value obtained for the volume is 93 Å³/f.u. Its density of states at the Fermi level is 9.15 states/eV per cell. The value obtained for the size of the total moment is 0.0 Bohr magnetons per cell.

=====

Entry from Alexandria via LeMat-Bulk: a relaxed SmThSb2 crystal (PBE).

Cell and atoms, written as CIF:
```
data_SmThSb2
_chemical_formula_sum 'Sm2 Th2 Sb4'
_symmetry_space_group_name_H-M 'C 1 2/m 1'
_symmetry_Int_Tables_number 12
_cell_length_a 7.789
_cell_length_b 4.494
_cell_length_c 7.750
_cell_angle_alpha 90.00
_cell_angle_beta 109.49
_cell_angle_gamma 90.00
loop_
_symmetry_equiv_pos_as_xyz
'x,y,z'
'-x,-y,-z'
'-x,y,-z'
'x,-y,z'
'x+1/2,y+1/2,z'
'-x+1/2,-y+1/2,-z'
'-x+1/2,y+1/2,-z'
'x+1/2,-y+1/2,z'
loop_
_atom_site_label
_atom_site_fract_x
_atom_site_fract_y
_atom_site_fract_z
_atom_site_occupancy
Sm1 0.000 0.000 0.000 1
Th1 0.000 0.500 0.500 1
Sb1 0.249 0.500 0.247 1
```

The value obtained for the volume is 128 Å³/f.u. Its density of states at the Fermi level is 4.03 states/eV per cell. The calculation puts the energy above the most stable polymorph in this dataset at 0.00 eV/f.u. The uncorrected formation energy comes out at -1053.0 meV/atom. The value obtained for the size of the total moment is 0.0 Bohr magnetons per cell.

=====

Entry from Alexandria via LeMat-Bulk: a relaxed MgMn4Au crystal (PBE).

Cell and atoms, written as CIF:
```
data_MgMn4Au
_chemical_formula_sum 'Mg4 Mn16 Au4'
_symmetry_space_group_name_H-M 'F -4 3 m'
_symmetry_Int_Tables_number 216
_symmetry_space_group_name_Hall 'F -4 2 3'
_cell_length_a 6.894
_cell_length_b 6.894
_cell_length_c 6.894
_cell_angle_alpha 90.00
_cell_angle_beta 90.00
_cell_angle_gamma 90.00
loop_
_atom_site_label
_atom_site_fract_x
_atom_site_fract_y
_atom_site_fract_z
_atom_site_occupancy
Mg1 0.000 0.000 0.000 1
Mn1 0.126 0.126 0.626 1
Au1 0.250 0.250 0.250 1
```

For the energy of formation from the pure elements, the calculation gives 250 meV/atom. The value obtained for the volume is 82 Å³/f.u. Its density of states at the Fermi level is 38.04 states/eV per cell. The value obtained for the size of the total moment is 27.6 Bohr magnetons per cell.

=====

Entry from Alexandria via LeMat-Bulk: a relaxed Zn2SbCl crystal (PBE).

Cell and atoms, written as CIF:
```
data_Zn2SbCl
_chemical_formula_sum 'Zn4 Sb2 Cl2'
_symmetry_space_group_name_H-M 'C 1 m 1'
_symmetry_Int_Tables_number 8
_cell_length_a 10.794
_cell_length_b 3.279
_cell_length_c 4.952
_cell_angle_alpha 90.00
_cell_angle_beta 90.73
_cell_angle_gamma 90.00
loop_
_symmetry_equiv_pos_as_xyz
'x,y,z'
'x,-y,z'
'x+1/2,y+1/2,z'
'x+1/2,-y+1/2,z'
loop_
_atom_site_label
_atom_site_fract_x
_atom_site_fract_y
_atom_site_fract_z
_atom_site_occupancy
Zn1 0.000 0.000 0.000 1
Zn2 0.235 0.500 0.591 1
Sb1 0.256 0.000 0.105 1
Cl1 0.006 0.500 0.598 1
```

The value obtained for the volume is 88 Å³/f.u. Its density of states at the Fermi level is 2.10 states/eV per cell. The calculation puts the energy above the most stable polymorph in this dataset at 0.86 eV/f.u. The uncorrected formation energy comes out at -132.4 meV/atom. The value obtained for the size of the total moment is 0.0 Bohr magnetons per cell.

=====

> Among the records above, which one has the lowest density of states at the Fermi level?

Zn2SbCl

=====

> Look up the density of states at the Fermi level of the seventh one.

9.15 states/eV per cell